1.
Material: Ac3Pr7Nd
Method: DFT, PBE
State: optimized geometry

POSCAR file:
```
Ac3Pr7Nd
1.0
6.081 -0.292 -0.374
-2.568 8.527 1.261
-2.568 -0.844 8.578
Ac Pr Nd
3 7 1
direct
0.000 0.790 0.210
0.500 0.000 0.000
0.000 0.210 0.790
0.214 0.214 0.214
0.296 0.001 0.591
0.704 0.409 0.999
0.296 0.591 0.001
0.000 0.500 0.500
0.704 0.999 0.409
0.786 0.786 0.786
0.500 0.500 0.500
```

Computed properties:
Its size of the total moment is 0.00 μB/cell. As for the space-group type: Immm. For the density of states at the Fermi level, the calculation gives 1.589 states/eV per atom. The final energy comes out at -47.97 eV per cell. The calculated formation energy comes out at 0.2346 eV/atom.


2.
Material: Ac12Pr3Nd
Method: DFT, PBE
State: optimized geometry

POSCAR file:
```
Ac12Pr3Nd
1.0
5.551 0.000 0.000
0.000 5.551 0.000
0.000 0.000 22.128
Ac Pr Nd
12 3 1
direct
0.500 0.500 0.000
0.500 0.500 0.250
0.500 0.500 0.500
0.500 0.500 0.750
0.500 0.000 0.125
0.500 0.000 0.375
0.500 0.000 0.625
0.500 0.000 0.875
0.000 0.500 0.125
0.000 0.500 0.375
0.000 0.500 0.625
0.000 0.500 0.875
0.000 0.000 0.250
0.000 0.000 0.500
0.000 0.000 0.750
0.000 0.000 0.000
```

Computed properties:
Its size of the total moment is 0.00 μB/cell. As for the space-group type: P4/mmm. For the density of states at the Fermi level, the calculation gives 1.781 states/eV per atom. The final energy comes out at -68.11 eV per cell. The calculated formation energy comes out at 0.0189 eV/atom.


3.
Material: Ac8PrNd2
Method: DFT, PBE
State: optimized geometry

POSCAR file:
```
Ac8PrNd2
1.0
6.280 0.265 0.226
1.221 9.107 -0.584
1.221 0.835 9.088
Ac Pr Nd
8 1 2
direct
0.796 0.142 0.653
0.204 0.347 0.858
0.886 0.267 0.267
0.114 0.733 0.733
0.796 0.653 0.142
0.204 0.858 0.347
0.293 0.418 0.418
0.707 0.582 0.582
0.000 0.000 0.000
0.478 0.131 0.131
0.522 0.869 0.869
```

Computed properties:
Its size of the total moment is 0.00 μB/cell. As for the space-group type: C2/m. For the density of states at the Fermi level, the calculation gives 1.517 states/eV per atom. The final energy comes out at -43.09 eV per cell. The calculated formation energy comes out at 0.3718 eV/atom.


4.
Material: AcPr4Nd5
Method: DFT, PBE
State: optimized geometry

POSCAR file:
```
AcPr4Nd5
1.0
-3.753 -1.927 3.006
-6.441 -2.904 -5.439
1.223 -8.826 0.332
Ac Pr Nd
1 4 5
direct
0.250 0.000 0.000
0.250 0.323 0.677
0.982 0.268 0.268
0.518 0.732 0.732
0.250 0.677 0.323
0.595 0.344 0.967
0.905 0.033 0.656
0.750 0.500 0.500
0.595 0.967 0.344
0.905 0.656 0.033
```

Computed properties:
Its size of the total moment is 0.00 μB/cell. As for the space-group type: Immm. For the density of states at the Fermi level, the calculation gives 1.467 states/eV per atom. The final energy comes out at -44.85 eV per cell. The calculated formation energy comes out at 0.2214 eV/atom.


5.
Material: Ac3PrNd3
Method: DFT, PBE
State: optimized geometry

POSCAR file:
```
Ac3PrNd3
1.0
-5.669 -2.208 0.999
0.166 -4.560 -9.143
3.393 -4.977 8.254
Ac Pr Nd
6 2 6
direct
0.750 0.466 0.372
0.750 0.906 0.534
0.250 0.372 0.906
0.750 0.628 0.094
0.250 0.094 0.466
0.250 0.534 0.628
0.250 0.667 0.333
0.750 0.333 0.667
0.750 0.184 0.954
0.750 0.770 0.816
0.250 0.954 0.770
0.750 0.046 0.230
0.250 0.230 0.184
0.250 0.816 0.046
```

Computed properties:
Its size of the total moment is 0.00 μB/cell. As for the space-group type: P6_3/m. For the density of states at the Fermi level, the calculation gives 1.769 states/eV per atom. The final energy comes out at -62.20 eV per cell. The calculated formation energy comes out at 0.0440 eV/atom.


6.
Material: Ac7Pr4Nd
Method: DFT, PBE
State: optimized geometry

POSCAR file:
```
Ac7Pr4Nd
1.0
-3.466 -5.882 -3.698
-3.499 -9.475 2.034
-8.474 2.368 4.066
Ac Pr Nd
7 4 1
direct
0.748 0.503 0.004
0.252 0.497 0.996
0.973 0.282 0.664
0.027 0.718 0.336
0.220 0.781 0.669
0.500 0.000 0.000
0.780 0.219 0.331
0.525 0.726 0.331
0.475 0.274 0.669
0.718 0.782 0.667
0.282 0.218 0.333
0.000 0.000 0.000
```

Computed properties:
Its size of the total moment is 0.00 μB/cell. As for the space-group type: P-1. For the density of states at the Fermi level, the calculation gives 1.696 states/eV per atom. The final energy comes out at -52.32 eV per cell. The calculated formation energy comes out at 0.0268 eV/atom.


Which formula does entry 3 have?
Ac8PrNd2


What is the formula in the second record?
Ac12Pr3Nd


Copy entry 4 word for word.
Material: AcPr4Nd5
Method: DFT, PBE
State: optimized geometry

POSCAR file:
```
AcPr4Nd5
1.0
-3.753 -1.927 3.006
-6.441 -2.904 -5.439
1.223 -8.826 0.332
Ac Pr Nd
1 4 5
direct
0.250 0.000 0.000
0.250 0.323 0.677
0.982 0.268 0.268
0.518 0.732 0.732
0.250 0.677 0.323
0.595 0.344 0.967
0.905 0.033 0.656
0.750 0.500 0.500
0.595 0.967 0.344
0.905 0.656 0.033
```

Computed properties:
Its size of the total moment is 0.00 μB/cell. As for the space-group type: Immm. For the density of states at the Fermi level, the calculation gives 1.467 states/eV per atom. The final energy comes out at -44.85 eV per cell. The calculated formation energy comes out at 0.2214 eV/atom.